VASP calculation (PBE-GGA) on a relaxed Cs2Tl15Pb2 crystal.

Computed properties:
* formation energy from the elements: -39.3 meV per atom

CIF file:
```
data_Cs2Tl15Pb2
_cell_length_a 11.6170
_cell_length_b 11.6170
_cell_length_c 17.0215
_cell_angle_alpha 90.00
_cell_angle_beta 90.00
_cell_angle_gamma 120.00
_space_group_name_H-M_alt 'R -3 m'
_space_group_IT_number 166
_space_group_name_Hall '-R 3 2"'
loop_
_atom_site_label
_atom_site_fract_x
_atom_site_fract_y
_atom_site_fract_z
_atom_site_occupancy
Cs1 0.0000 0.0000 0.1589 1
Tl1 0.0000 0.2900 0.5000 1
Tl2 0.0000 0.5000 0.0000 1
Tl3 0.0001 0.5000 0.3493 1
Pb1 0.0000 0.0000 0.4037 1
```